No. 1
Density functional theory data (PBE-GGA) for an optimized crystal structure of BOs3Pb.

Cell: 4.2075 4.2075 4.2075 Å, 90.00 90.00 90.00°
Element x y z (fractional)
1 B 0.0000 0.0000 0.0000
2 Os 0.0000 0.0000 0.5000
3 Os 0.0000 0.5000 0.0000
4 Os 0.5000 0.0000 0.0000
5 Pb 0.5000 0.5000 0.5000

Space group: Pm-3m, No. 221
Electronic total energy: -8.1708 eV/atom
Polymorph energy (0 for the lowest one): 0.0000 eV/atom
Density: 17.58 Mg/m³
V: 74.5 Å³/cell


No. 2
Density functional theory data (PBE-GGA) for an optimized crystal structure of ZrNiTe2.

Cell: 3.7305 3.6174 6.6316 Å, 90.00 103.51 90.00°
Element x y z (fractional)
1 Zr 0.0000 0.0000 0.0000
2 Ni 0.0000 0.0000 0.5000
3 Te 0.3548 0.5000 0.7411
4 Te 0.6452 0.5000 0.2589

Space group: P2/m, No. 10
Electronic total energy: -5.5118 eV/atom
Polymorph energy (0 for the lowest one): 0.3668 eV/atom
Density: 7.73 Mg/m³
V: 87.0 Å³/cell
Formation energy without anion corrections: -1.434 eV/f.u.


No. 3
Density functional theory data (PBE-GGA) for an optimized crystal structure of Al2TcMo.

Cell: 3.0152 4.3440 4.5497 Å, 90.00 90.00 90.00°
Element x y z (fractional)
1 Al 0.0000 0.0000 0.0000
2 Al 0.0000 0.5000 0.3575
3 Tc 0.5000 0.0000 0.5056
4 Mo 0.5000 0.5000 0.8491

Space group: Pmm2, No. 25
Electronic total energy: -7.3608 eV/atom
Polymorph energy (0 for the lowest one): 0.1707 eV/atom
Density: 6.91 Mg/m³
V: 59.6 Å³/cell


No. 4
Density functional theory data (PBE-GGA) for an optimized crystal structure of Tm3ScSe4.

Cell: 8.3438 7.4747 7.3930 Å, 90.00 90.00 90.00°
Element x y z (fractional)
1 Tm 0.0000 0.1863 0.0000
2 Tm 0.2451 0.3944 0.5827
3 Tm 0.2549 0.6056 0.0827
4 Tm 0.5000 0.8137 0.5000
5 Tm 0.7451 0.6056 0.0827
6 Tm 0.7549 0.3944 0.5827
7 Sc 0.0000 0.7932 0.5062
8 Sc 0.5000 0.2068 0.0062
9 Se 0.0000 0.1438 0.6300
10 Se 0.0000 0.8369 0.1502
11 Se 0.2471 0.7370 0.7238
12 Se 0.2529 0.2630 0.2238
13 Se 0.5000 0.1631 0.6502
14 Se 0.5000 0.8562 0.1300
15 Se 0.7471 0.2630 0.2238
16 Se 0.7529 0.7370 0.7238

Space group: Pmn2_1, No. 31
Electronic total energy: -5.4911 eV/atom
Polymorph energy (0 for the lowest one): 0.3571 eV/atom
Density: 6.25 Mg/m³
V: 461.1 Å³/cell
Formation energy without anion corrections: -10.245 eV/f.u.


No. 5
Density functional theory data (PBE-GGA) for an optimized crystal structure of CsIOF4.

Cell: 6.3607 6.1747 15.6870 Å, 90.00 90.00 90.00°
Element x y z (fractional)
1 Cs 0.2310 0.2500 0.1047
2 Cs 0.2690 0.7500 0.6047
3 Cs 0.7310 0.2500 0.3953
4 Cs 0.7690 0.7500 0.8953
5 I 0.2212 0.2500 0.8404
6 I 0.2788 0.7500 0.3404
7 I 0.7212 0.2500 0.6596
8 I 0.7788 0.7500 0.1596
9 O 0.0070 0.7500 0.0944
10 O 0.4930 0.2500 0.5944
11 O 0.5070 0.7500 0.4056
12 O 0.9930 0.2500 0.9056
13 F 0.0865 0.0198 0.7655
14 F 0.0865 0.4802 0.7655
15 F 0.1501 0.5231 0.4154
16 F 0.1501 0.9769 0.4154
17 F 0.3499 0.0231 0.9154
18 F 0.3499 0.4769 0.9154
19 F 0.4135 0.5198 0.2655
20 F 0.4135 0.9802 0.2655
21 F 0.5865 0.0198 0.7345
22 F 0.5865 0.4802 0.7345
23 F 0.6501 0.5231 0.0846
24 F 0.6501 0.9769 0.0846
25 F 0.8499 0.0231 0.5846
26 F 0.8499 0.4769 0.5846
27 F 0.9135 0.5198 0.2345
28 F 0.9135 0.9802 0.2345

Space group: Pnma, No. 62
Electronic total energy: -3.9482 eV/atom
Density: 3.79 Mg/m³
V: 616.1 Å³/cell
Formation energy without anion corrections: -12.790 eV/f.u.


No. 6
Density functional theory data (PBE-GGA) for an optimized crystal structure of Rb2Pu2CuSe6.

Cell: 7.2012 7.2012 8.5308 Å, 97.58 97.58 123.01°
Element x y z (fractional)
1 Rb 0.1579 0.8421 0.0000
2 Rb 0.8421 0.1579 0.0000
3 Pu 0.3357 0.6643 0.5000
4 Pu 0.6643 0.3357 0.5000
5 Cu 0.0000 0.0000 0.5000
6 Se 0.0586 0.4061 0.6901
7 Se 0.2447 0.2447 0.3309
8 Se 0.4061 0.0586 0.6901
9 Se 0.5939 0.9414 0.3099
10 Se 0.7553 0.7553 0.6691
11 Se 0.9414 0.5939 0.3099

Space group: C2/m, No. 12
Electronic total energy: -6.0710 eV/atom
Density: 5.57 Mg/m³
V: 356.5 Å³/cell
Formation energy without anion corrections: -11.179 eV/f.u.


No. 7
Density functional theory data (PBE-GGA) for an optimized crystal structure of CsBiAu4.

Cell: 5.9037 5.9037 5.9037 Å, 60.00 60.00 60.00°
Element x y z (fractional)
1 Cs 0.0000 0.0000 0.0000
2 Bi 0.7500 0.7500 0.7500
3 Au 0.3755 0.3755 0.3755
4 Au 0.3755 0.3755 0.8736
5 Au 0.3755 0.8736 0.3755
6 Au 0.8736 0.3755 0.3755

Space group: F-43m, No. 216
Electronic total energy: -2.9438 eV/atom
Density: 12.89 Mg/m³
V: 145.5 Å³/cell


No. 8
Density functional theory data (PBE-GGA) for an optimized crystal structure of Pr2In8Ru.

Cell: 4.6965 4.6965 12.4910 Å, 90.00 90.00 90.00°
Element x y z (fractional)
1 Pr 0.0000 0.0000 0.1930
2 Pr 0.0000 0.0000 0.8070
3 In 0.0000 0.5000 0.0000
4 In 0.0000 0.5000 0.3809
5 In 0.0000 0.5000 0.6191
6 In 0.5000 0.0000 0.0000
7 In 0.5000 0.0000 0.3809
8 In 0.5000 0.0000 0.6191
9 In 0.5000 0.5000 0.1913
10 In 0.5000 0.5000 0.8087
11 Ru 0.0000 0.0000 0.5000

Space group: P4/mmm, No. 123
Electronic total energy: -4.0761 eV/atom
Density: 7.84 Mg/m³
V: 275.5 Å³/cell


What is the V in the first record? 74.5 Å³/cell